Entry from Alexandria: a relaxed structure of HoGaPd (GGA-PBE).

It has space group F-43m (No. 216), with a = 6.447 Å, b = 6.447 Å, c = 6.447 Å, α = 90.00°, β = 90.00° and γ = 90.00°. The distinct sites, in fractional coordinates, are Ho at (0.000, 0.000, 0.000), Ga at (0.000, 0.000, 0.500) and Pd at (0.250, 0.250, 0.750).

For the uncorrected energy, the calculation gives -59.267 eV/cell. The value obtained for the magnetic moment is 0.0 μB per cell. The volume comes out at 22.331 A^3/atom.